(1)
{"formula": "AlAsRh2", "functional": "GGA-PBE", "state": "relaxed", "crystal_system": "monoclinic", "spacegroup": "P2/m (10)", "dft_energy_ev_per_atom": -6.272, "relative_energy_mev_per_atom": 103, "rho_g_cm3": 8.6, "total_magnetization_mub_per_cell": 0.00, "delta_e_f_ev_per_atom": -0.499, "lattice": [[-1.8810, 2.3282, -0.6855], [-2.4632, -2.9463, -3.2478], [-4.0203, -3.0611, 0.6346]], "species": ["As", "Rh", "Rh", "Al"], "frac_coords": [[0.0000, 0.0000, 0.5000], [0.0000, 0.0000, 0.0000], [0.5000, 0.5000, 0.0000], [0.5000, 0.5000, 0.5000]]}

(2)
{"formula": "AlAsRh2", "functional": "GGA-PBE", "state": "relaxed", "crystal_system": "cubic", "spacegroup": "Fm-3m (225)", "dft_energy_ev_per_atom": -6.244, "relative_energy_mev_per_atom": 132, "rho_g_cm3": 8.8, "total_magnetization_mub_per_cell": 0.00, "delta_e_f_ev_per_atom": -0.470, "lattice": [[0.0000, 3.0686, 3.0686], [3.0686, 0.0000, 3.0686], [3.0686, 3.0686, 0.0000]], "species": ["Al", "As", "Rh", "Rh"], "frac_coords": [[0.0000, 0.0000, 0.0000], [0.5000, 0.5000, 0.5000], [0.2500, 0.2500, 0.2500], [0.7500, 0.7500, 0.7500]]}

(3)
{"formula": "ScAl2AsRh", "functional": "GGA-PBE", "state": "relaxed", "crystal_system": "tetragonal", "spacegroup": "P4/mmm (123)", "dft_energy_ev_per_atom": -4.122, "rho_g_cm3": 3.7, "total_magnetization_mub_per_cell": 0.73, "delta_e_f_ev_per_atom": 1.042, "lattice": [[5.0872, 0.0000, 0.0000], [0.0000, 4.8618, 0.0000], [0.0000, 0.0000, 5.0872]], "species": ["Rh", "Sc", "Al", "Al", "As"], "frac_coords": [[0.5000, 0.5000, 0.5000], [0.0000, 0.0000, 0.0000], [0.0000, 0.0000, 0.5000], [0.5000, 0.0000, 0.0000], [0.0000, 0.5000, 0.0000]]}

(4)
{"formula": "AlAs2RhSe", "functional": "GGA-PBE", "state": "relaxed", "e_form_raw_kj_per_mol_atoms": 69.7, "crystal_system": "tetragonal", "spacegroup": "P4/mmm (123)", "dft_energy_ev_per_atom": -4.053, "relative_energy_mev_per_atom": 294, "rho_g_cm3": 5.6, "total_magnetization_mub_per_cell": 0.00, "lattice": [[4.7141, 0.0000, 0.0000], [0.0000, 4.7141, 0.0000], [0.0000, 0.0000, 4.7782]], "species": ["Al", "Rh", "Se", "As", "As"], "frac_coords": [[0.0000, 0.0000, 0.0000], [0.5000, 0.5000, 0.5000], [0.0000, 0.0000, 0.5000], [0.5000, 0.0000, 0.0000], [0.0000, 0.5000, 0.0000]]}

(5)
{"formula": "AlAs2RhSe", "functional": "GGA-PBE", "state": "relaxed", "e_form_raw_kj_per_mol_atoms": 41.4, "crystal_system": "tetragonal", "spacegroup": "P4/mmm (123)", "dft_energy_ev_per_atom": -4.347, "relative_energy_mev_per_atom": 0, "rho_g_cm3": 5.1, "total_magnetization_mub_per_cell": 0.00, "lattice": [[4.6792, 0.0000, 0.0000], [0.0000, 4.6792, 0.0000], [0.0000, 0.0000, 5.3508]], "species": ["As", "As", "Al", "Rh", "Se"], "frac_coords": [[0.5000, 0.0000, 0.0000], [0.0000, 0.5000, 0.0000], [0.5000, 0.5000, 0.5000], [0.0000, 0.0000, 0.0000], [0.0000, 0.0000, 0.5000]]}

(6)
{"formula": "Sm3AlAs2Rh9", "functional": "GGA-PBE", "state": "relaxed", "crystal_system": "trigonal", "spacegroup": "P-3m1 (164)", "dft_energy_ev_per_atom": -6.664, "rho_g_cm3": 8.5, "total_magnetization_mub_per_cell": 0.00, "delta_e_f_ev_per_atom": -0.440, "lattice": [[-5.2307, -2.4053, 2.4352], [4.7771, -3.7541, -1.4701], [3.3643, 1.0465, 8.2600]], "species": ["Rh", "Rh", "Rh", "Rh", "Rh", "Rh", "Rh", "Rh", "Rh", "As", "As", "Sm", "Sm", "Sm", "Al"], "frac_coords": [[0.8583, 0.1417, 0.7191], [0.1417, 0.8583, 0.2809], [0.7165, 0.8583, 0.2809], [0.5000, 0.0000, 0.0000], [0.5000, 0.5000, 0.0000], [0.0000, 0.5000, 0.0000], [0.1417, 0.2835, 0.2809], [0.8583, 0.7165, 0.7191], [0.2835, 0.1417, 0.7191], [0.6667, 0.3333, 0.8258], [0.3333, 0.6667, 0.1742], [0.6667, 0.3333, 0.2948], [0.0000, 0.0000, 0.0000], [0.3333, 0.6667, 0.7052], [0.0000, 0.0000, 0.5000]]}

What did the third record say?
{"formula": "ScAl2AsRh", "functional": "GGA-PBE", "state": "relaxed", "crystal_system": "tetragonal", "spacegroup": "P4/mmm (123)", "dft_energy_ev_per_atom": -4.122, "rho_g_cm3": 3.7, "total_magnetization_mub_per_cell": 0.73, "delta_e_f_ev_per_atom": 1.042, "lattice": [[5.0872, 0.0000, 0.0000], [0.0000, 4.8618, 0.0000], [0.0000, 0.0000, 5.0872]], "species": ["Rh", "Sc", "Al", "Al", "As"], "frac_coords": [[0.5000, 0.5000, 0.5000], [0.0000, 0.0000, 0.0000], [0.0000, 0.0000, 0.5000], [0.5000, 0.0000, 0.0000], [0.0000, 0.5000, 0.0000]]}